Computed, not measured: a relaxed structure of ReCl2 at the PBE level of DFT.

Results
mass density: 7.6 g/cm³
size of the total moment: 0.0 μB/f.u.
final energy: -30.8 eV/cell

Lattice parameters (Å, degrees): 5.4639 5.4639 3.7638 90.00 90.00 90.00
Atoms (fractional coordinates):
Re 0.0000 0.0000 0.0000
Re 0.5000 0.5000 0.5000
Cl 0.1940 0.1940 0.5000
Cl 0.3060 0.6940 0.0000
Cl 0.6940 0.3060 0.0000
Cl 0.8060 0.8060 0.5000